Computed, not measured: crystalline BeTcC2Cl at its relaxed geometry at the PBE-GGA level of DFT.

Summary:
**Total DFT energy (no corrections)**: -19.6 eV for the cell shown
**E_form (uncorrected)**: 2.960 eV/atom
**Fermi-level density of states**: 0.480 states/eV/atom

a b c (Å): 3.5669 3.5669 4.6575
angles (deg): 90.00 90.00 90.00
Last column: nearest neighbours and their distance in Å.
Space group P4/mmm (No. 123)
Symmetry-distinct sites (fractional):
1 Be 0.0000 0.0000 0.0000  4 Tc 2.52
2 Tc 0.5000 0.5000 0.0000  2 Cl 2.33, 4 Be 2.52
3 C 0.0000 0.5000 0.5000  2 Cl 1.78
4 Cl 0.5000 0.5000 0.5000  4 C 1.78

Computed, not measured: crystalline BeCo2C at its relaxed geometry at the PBE-GGA level of DFT.

Summary:
**Total DFT energy (no corrections)**: -102.0 eV for the cell shown
**ΔE_f**: 1.7 eV/f.u.
**E above lowest polymorph**: 0.754 eV per formula unit
**Fermi-level density of states**: 0.570 states/eV/atom

a b c (Å): 5.0161 5.0161 5.0161
angles (deg): 90.00 90.00 90.00
Last column: nearest neighbours and their distance in Å.
Space group Fm-3m (No. 225)
Symmetry-distinct sites (fractional):
1 Be 0.0000 0.0000 0.0000  8 Co 2.17
2 Co 0.2500 0.2500 0.2500  4 C 2.17, 4 Be 2.17
3 C 0.0000 0.0000 0.5000  8 Co 2.17

Computed, not measured: crystalline Be2CoC2 at its relaxed geometry at the PBE-GGA level of DFT.

Summary:
**Total DFT energy (no corrections)**: -61.6 eV for the cell shown
**ΔE_f**: 2.2 eV/f.u.
**E above lowest polymorph**: 1.364 eV per formula unit
**Fermi-level density of states**: 0.348 states/eV/atom

a b c (Å): 3.0588 3.0588 7.5860
angles (deg): 90.00 90.00 90.00
Last column: nearest neighbours and their distance in Å.
Space group I4/mmm (No. 139)
Symmetry-distinct sites (fractional):
1 Be 0.0000 0.5000 0.2500  4 C 1.92
2 Co 0.0000 0.0000 0.0000  8 C 2.29, 8 Be 2.44
3 C 0.0000 0.0000 0.4028  1 C 1.47

- Number 1 is which compound?
  BeTcC2Cl

- Which of these has the highest Fermi-level density of states?
  BeCo2C

- Which of these has the highest total DFT energy (no corrections)?
  BeTcC2Cl